1.
DFT (PBE-GGA) results for ZnCd6AgPb after structural relaxation.

DOS(E_F) ... 4.00 states/eV/f.u.
VASP energy ... -1.379 eV/atom
Symmetry ... Imma, No. 74

Lattice parameters (Å, degrees): 8.559 8.559 8.559 127.59 110.75 92.04
Positions (direct):
Zn  0.000  0.000  0.000
Zn  0.500  0.000  0.500
Cd  0.118  0.433  0.292
Cd  0.118  0.826  0.685
Cd  0.281  0.531  0.750
Cd  0.326  0.076  0.250
Cd  0.359  0.174  0.792
Cd  0.359  0.567  0.185
Cd  0.641  0.433  0.815
Cd  0.641  0.826  0.208
Cd  0.674  0.924  0.750
Cd  0.719  0.469  0.250
Cd  0.882  0.174  0.315
Cd  0.882  0.567  0.708
Ag  0.500  0.000  0.000
Ag  0.500  0.500  0.500
Pb  0.040  0.790  0.250
Pb  0.960  0.210  0.750


2.
DFT (PBE-GGA) results for TeHRh after structural relaxation.

DOS(E_F) ... 1.14 states/eV/f.u.
VASP energy ... -4.495 eV/atom
E above lowest polymorph ... 0.62 eV per formula unit
Symmetry ... P3m1, No. 156

Lattice parameters (Å, degrees): 3.246 3.246 4.808 90.00 90.00 120.00
Positions (direct):
Te  0.000  0.000  0.000
H  0.667  0.333  0.475
Rh  0.333  0.667  0.421